[1]
Tl2ReSi | GGA-PBE | optimized geometry

Cell: 2.998 2.998 10.300 Å, 90.00 90.00 116.83°
Positions (direct):
Tl 0.000 0.000 0.239
Tl 0.000 0.000 0.761
Re 0.500 0.500 0.000
Si 0.500 0.500 0.500

- total energy (eV/f.u.) = -18.475
- formation energy without anion corrections (eV per atom) = 1.032
- space-group type = No. 65
- energy above the lowest structure with this stoichiometry (meV/atom) = 679
- calculated volume (Å³ per atom) = 20.657

***

[2]
Sm2TlAgS4 | GGA-PBE | optimized geometry

Cell: 7.154 7.154 14.491 Å, 90.00 90.00 146.59°
Positions (direct):
Sm 0.132 0.868 0.566
Sm 0.132 0.868 0.934
Sm 0.868 0.132 0.066
Sm 0.868 0.132 0.434
Tl 0.387 0.613 0.750
Tl 0.613 0.387 0.250
Ag 0.333 0.667 0.250
Ag 0.667 0.333 0.750
S 0.058 0.942 0.750
S 0.236 0.764 0.102
S 0.236 0.764 0.398
S 0.500 0.500 0.000
S 0.500 0.500 0.500
S 0.764 0.236 0.602
S 0.764 0.236 0.898
S 0.942 0.058 0.250

- total energy (eV/f.u.) = -42.197
- formation energy without anion corrections (eV per atom) = -1.379
- space-group type = No. 63
- calculated volume (Å³ per atom) = 25.524

***

[3]
Np4Ga12Pt | GGA-PBE | optimized geometry

Cell: 7.472 7.472 7.472 Å, 109.47 109.47 109.47°
Positions (direct):
Np 0.000 0.000 0.500
Np 0.000 0.500 0.000
Np 0.500 0.000 0.000
Np 0.500 0.500 0.500
Ga 0.000 0.295 0.295
Ga 0.000 0.705 0.705
Ga 0.250 0.500 0.750
Ga 0.250 0.750 0.500
Ga 0.295 0.000 0.295
Ga 0.295 0.295 0.000
Ga 0.500 0.250 0.750
Ga 0.500 0.750 0.250
Ga 0.705 0.000 0.705
Ga 0.705 0.705 0.000
Ga 0.750 0.250 0.500
Ga 0.750 0.500 0.250
Pt 0.000 0.000 0.000

- total energy (eV/f.u.) = -99.288
- formation energy (eV per atom) = -0.304
- space-group type = No. 229
- calculated volume (Å³ per atom) = 18.891

***

[4]
PaTiAu | GGA-PBE | optimized geometry

Cell: 7.967 7.967 4.894 Å, 94.13 94.13 23.55°
Positions (direct):
Pa 0.070 0.070 0.209
Pa 0.930 0.930 0.791
Ti 0.257 0.257 0.747
Ti 0.743 0.743 0.253
Au 0.383 0.383 0.284
Au 0.617 0.617 0.716

- total energy (eV/f.u.) = -21.162
- formation energy (eV per atom) = -0.165
- space-group type = No. 12
- energy above the lowest structure with this stoichiometry (meV/atom) = 0
- calculated volume (Å³ per atom) = 20.630

***

[5]
Ho8Tl2Ga | GGA-PBE | optimized geometry

Cell: 9.707 9.707 6.733 Å, 102.57 102.57 30.57°
Positions (direct):
Ho 0.018 0.018 0.269
Ho 0.205 0.205 0.811
Ho 0.347 0.347 0.519
Ho 0.411 0.411 0.042
Ho 0.589 0.589 0.958
Ho 0.653 0.653 0.481
Ho 0.795 0.795 0.189
Ho 0.982 0.982 0.731
Tl 0.185 0.185 0.252
Tl 0.815 0.815 0.748
Ga 0.500 0.500 0.500

- total energy (eV/f.u.) = -46.590
- formation energy (eV per atom) = -0.201
- space-group type = No. 12
- calculated volume (Å³ per atom) = 28.576

***

[6]
VTe2C | GGA-PBE | optimized geometry

Cell: 8.756 8.756 8.756 Å, 22.29 22.29 22.29°
Positions (direct):
V 0.000 0.000 0.000
Te 0.107 0.107 0.107
Te 0.893 0.893 0.893
C 0.500 0.500 0.500

- total energy (eV/f.u.) = -18.814
- formation energy without anion corrections (eV per atom) = 1.453
- space-group type = No. 166
- calculated volume (Å³ per atom) = 21.182

***

[7]
CsScCoCl6 | GGA-PBE | optimized geometry

Cell: 6.499 6.499 7.851 Å, 90.18 90.18 119.95°
Positions (direct):
Cs 0.000 0.000 0.000
Sc 0.666 0.334 0.500
Co 0.332 0.668 0.500
Cl 0.005 0.625 0.320
Cl 0.006 0.380 0.681
Cl 0.375 0.995 0.680
Cl 0.381 0.387 0.316
Cl 0.613 0.619 0.684
Cl 0.620 0.994 0.319

- total energy (eV/f.u.) = -39.639
- formation energy without anion corrections (eV per atom) = -1.585
- space-group type = No. 5
- calculated volume (Å³ per atom) = 31.923

***

[8]
GeHF3 | GGA-PBE | optimized geometry

Cell: 7.687 7.687 7.687 Å, 36.15 36.15 36.15°
Positions (direct):
Ge 0.112 0.112 0.112
Ge 0.888 0.888 0.888
H 0.397 0.397 0.397
H 0.603 0.603 0.603
F 0.134 0.358 0.702
F 0.298 0.866 0.642
F 0.358 0.702 0.134
F 0.642 0.298 0.866
F 0.702 0.134 0.358
F 0.866 0.642 0.298

- total energy (eV/f.u.) = -21.957
- space-group type = No. 148
- energy above the lowest structure with this stoichiometry (meV/atom) = 0
- calculated volume (Å³ per atom) = 14.138

***

[9]
YBIr2Pd | GGA-PBE | optimized geometry

Cell: 4.221 4.221 4.331 Å, 90.00 90.00 90.00°
Positions (direct):
Y 0.000 0.000 0.000
B 0.500 0.500 0.500
Ir 0.000 0.500 0.500
Ir 0.500 0.000 0.500
Pd 0.500 0.500 0.000

- total energy (eV/f.u.) = -39.459
- formation energy (eV per atom) = -0.681
- space-group type = No. 123
- calculated volume (Å³ per atom) = 15.429

***

[10]
TmZrCr4 | GGA-PBE | optimized geometry

Cell: 5.103 5.103 5.103 Å, 60.00 60.00 60.00°
Positions (direct):
Tm 0.000 0.000 0.000
Zr 0.750 0.750 0.750
Cr 0.375 0.375 0.375
Cr 0.375 0.375 0.875
Cr 0.375 0.875 0.375
Cr 0.875 0.375 0.375

- total energy (eV/f.u.) = -50.740
- formation energy (eV per atom) = 0.129
- space-group type = No. 216
- calculated volume (Å³ per atom) = 15.662

***

[11]
HoTmV | GGA-PBE | optimized geometry

Cell: 4.274 4.274 9.283 Å, 105.71 105.71 77.64°
Positions (direct):
Ho 0.180 0.180 0.375
Ho 0.820 0.820 0.625
Tm 0.412 0.412 0.819
Tm 0.588 0.588 0.181
V 0.144 0.144 0.000
V 0.856 0.856 0.000

- total energy (eV/f.u.) = -17.133
- formation energy (eV per atom) = 0.345
- space-group type = No. 12
- calculated volume (Å³ per atom) = 25.885

***

[12]
Zr2RuPb | GGA-PBE | optimized geometry

Cell: 8.937 8.937 8.937 Å, 22.06 22.06 22.06°
Positions (direct):
Zr 0.236 0.236 0.236
Zr 0.764 0.764 0.764
Ru 0.500 0.500 0.500
Pb 0.000 0.000 0.000

- total energy (eV/f.u.) = -30.615
- formation energy (eV per atom) = -0.134
- space-group type = No. 166
- calculated volume (Å³ per atom) = 22.063

***

[13]
LuAlGa2 | GGA-PBE | optimized geometry

Cell: 4.244 4.244 4.155 Å, 90.00 90.00 90.00°
Positions (direct):
Lu 0.000 0.000 0.000
Al 0.500 0.500 0.000
Ga 0.000 0.500 0.500
Ga 0.500 0.000 0.500

- total energy (eV/f.u.) = -16.154
- formation energy (eV per atom) = -0.459
- space-group type = No. 123
- calculated volume (Å³ per atom) = 18.712

***

[14]
SnHOs2 | GGA-PBE | optimized geometry

Cell: 4.905 5.207 5.473 Å, 111.52 100.73 112.78°
Positions (direct):
Sn 0.000 0.000 0.000
Sn 0.211 0.476 0.726
H 0.129 0.562 0.208
H 0.592 0.129 0.103
Os 0.159 0.867 0.522
Os 0.585 0.334 0.435
Os 0.619 0.810 0.319
Os 0.724 0.379 0.949

- total energy (eV/f.u.) = -27.964
- space-group type = No. 1
- energy above the lowest structure with this stoichiometry (meV/atom) = 122
- calculated volume (Å³ per atom) = 13.844

***

[15]
La2Pm2Sm4Ho | GGA-PBE | optimized geometry

Cell: 9.723 9.723 9.778 Å, 115.15 115.15 21.84°
Positions (direct):
La 0.165 0.165 0.499
La 0.835 0.835 0.501
Pm 0.353 0.353 0.835
Pm 0.647 0.647 0.165
Sm 0.019 0.019 0.832
Sm 0.315 0.315 0.165
Sm 0.685 0.685 0.835
Sm 0.981 0.981 0.168
Ho 0.500 0.500 0.500

- total energy (eV/f.u.) = -42.732
- formation energy (eV per atom) = 0.009
- space-group type = No. 12
- calculated volume (Å³ per atom) = 34.442

***

[16]
NdZnRe | GGA-PBE | optimized geometry

Cell: 4.292 4.292 9.320 Å, 90.27 90.27 59.93°
Positions (direct):
Nd 0.165 0.165 0.185
Nd 0.835 0.835 0.815
Zn 0.499 0.499 0.362
Zn 0.501 0.501 0.638
Re 0.167 0.167 0.525
Re 0.833 0.833 0.475

- total energy (eV/f.u.) = -18.302
- formation energy (eV per atom) = 0.063
- space-group type = No. 12
- calculated volume (Å³ per atom) = 24.763

***

[17]
Tb2CeNi | GGA-PBE | optimized geometry

Cell: 10.594 10.594 10.594 Å, 18.96 18.96 18.96°
Positions (direct):
Tb 0.109 0.109 0.109
Tb 0.891 0.891 0.891
Ce 0.000 0.000 0.000
Ni 0.500 0.500 0.500

- total energy (eV/f.u.) = -20.546
- formation energy (eV per atom) = 0.107
- space-group type = No. 166
- energy above the lowest structure with this stoichiometry (meV/atom) = 287
- calculated volume (Å³ per atom) = 27.430

***

[18]
MnAg2OsPb | GGA-PBE | optimized geometry

Cell: 5.142 5.142 5.124 Å, 90.00 90.00 90.00°
Positions (direct):
Mn 0.000 0.000 0.000
Ag 0.000 0.500 0.500
Ag 0.500 0.000 0.500
Os 0.500 0.500 0.500
Pb 0.500 0.500 0.000

- total energy (eV/f.u.) = -23.125
- formation energy (eV per atom) = 1.337
- space-group type = No. 123
- calculated volume (Å³ per atom) = 27.096

***

[19]
BeV4Ge | GGA-PBE | optimized geometry

Cell: 3.128 3.128 7.895 Å, 90.00 90.00 90.00°
Positions (direct):
Be 0.000 0.000 0.000
V 0.000 0.000 0.324
V 0.000 0.000 0.676
V 0.500 0.500 0.156
V 0.500 0.500 0.844
Ge 0.500 0.500 0.500

- total energy (eV/f.u.) = -45.475
- formation energy (eV per atom) = -0.109
- space-group type = No. 123
- calculated volume (Å³ per atom) = 12.875

***

[20]
PmSiRh2 | GGA-PBE | optimized geometry

Cell: 5.578 5.578 5.578 Å, 43.37 43.37 43.37°
Positions (direct):
Pm 0.000 0.000 0.000
Si 0.500 0.500 0.500
Rh 0.211 0.211 0.211
Rh 0.789 0.789 0.789

- total energy (eV/f.u.) = -28.221
- formation energy without anion corrections (eV per atom) = -0.836
- space-group type = No. 166
- energy above the lowest structure with this stoichiometry (meV/atom) = 84
- calculated volume (Å³ per atom) = 18.564